1.
This record from Alexandria via LeMat-Bulk describes an optimized crystal structure of Y2TmTl. The functional is PBE.

The value obtained for the energy is -20.5 eV for the cell shown. The formation energy comes out at -0.176 eV per atom. Its energy above the lowest structure with this stoichiometry is 17 meV per atom.

Cell and atoms, written as CIF:
```
data_Y2TmTl
_chemical_formula_sum 'Y2 Tm1 Tl1'
_cell_length_a 3.5548
_cell_length_b 6.6165
_cell_length_c 6.5616
_cell_angle_alpha 117.31
_cell_angle_beta 105.74
_cell_angle_gamma 105.62
_symmetry_space_group_name_H-M 'P 1'
_symmetry_Int_Tables_number 1
loop_
_symmetry_equiv_pos_as_xyz
'x,y,z'
loop_
_atom_site_label
_atom_site_fract_x
_atom_site_fract_y
_atom_site_fract_z
Tl1 0.6674 0.1787 0.0393
Y1 0.7022 0.7093 0.5789
Y2 0.3148 0.0976 0.4164
Tm1 0.3157 0.5504 0.9655
```

---

2.
This record from Alexandria via LeMat-Bulk describes an optimized crystal structure of YTm2Tl. The functional is PBE.

The value obtained for the energy is -18.2 eV for the cell shown. The formation energy comes out at -0.105 eV per atom. Its energy above the lowest structure with this stoichiometry is 64 meV per atom.

Cell and atoms, written as CIF:
```
data_YTm2Tl
_chemical_formula_sum 'Y1 Tm2 Tl1'
_cell_length_a 3.5355
_cell_length_b 3.5355
_cell_length_c 11.1401
_cell_angle_alpha 80.87
_cell_angle_beta 80.87
_cell_angle_gamma 60.00
_symmetry_space_group_name_H-M 'P 1'
_symmetry_Int_Tables_number 1
loop_
_symmetry_equiv_pos_as_xyz
'x,y,z'
loop_
_atom_site_label
_atom_site_fract_x
_atom_site_fract_y
_atom_site_fract_z
Tl1 0.0000 0.0000 0.0000
Tm1 0.7461 0.7461 0.7616
Tm2 0.2539 0.2539 0.2384
Y1 0.5000 0.5000 0.5000
```

---

3.
This record from Alexandria via LeMat-Bulk describes an optimized crystal structure of YTm4Tl5. The functional is PBE.

The value obtained for the energy is -39.3 eV for the cell shown. The formation energy comes out at -0.309 eV per atom.

Cell and atoms, written as CIF:
```
data_YTm4Tl5
_chemical_formula_sum 'Y1 Tm4 Tl5'
_cell_length_a 3.7144
_cell_length_b 3.7144
_cell_length_c 19.3414
_cell_angle_alpha 90.00
_cell_angle_beta 90.00
_cell_angle_gamma 90.00
_symmetry_space_group_name_H-M 'P 1'
_symmetry_Int_Tables_number 1
loop_
_symmetry_equiv_pos_as_xyz
'x,y,z'
loop_
_atom_site_label
_atom_site_fract_x
_atom_site_fract_y
_atom_site_fract_z
Tm1 0.0000 0.0000 0.5991
Tm2 0.0000 0.0000 0.2023
Tm3 0.0000 0.0000 0.7977
Tm4 0.0000 0.0000 0.4009
Tl1 0.5000 0.5000 0.6981
Tl2 0.5000 0.5000 0.5000
Tl3 0.5000 0.5000 0.3019
Tl4 0.5000 0.5000 0.8969
Tl5 0.5000 0.5000 0.1031
Y1 0.0000 0.0000 0.0000
```

---

4.
This record from Alexandria via LeMat-Bulk describes an optimized crystal structure of Y2TmTl. The functional is PBE.

The value obtained for the energy is -20.5 eV for the cell shown. The formation energy comes out at -0.173 eV per atom. Its energy above the lowest structure with this stoichiometry is 20 meV per atom.

Cell and atoms, written as CIF:
```
data_Y2TmTl
_chemical_formula_sum 'Y2 Tm1 Tl1'
_cell_length_a 3.6109
_cell_length_b 3.6109
_cell_length_c 9.1402
_cell_angle_alpha 90.00
_cell_angle_beta 90.00
_cell_angle_gamma 90.00
_symmetry_space_group_name_H-M 'P 1'
_symmetry_Int_Tables_number 1
loop_
_symmetry_equiv_pos_as_xyz
'x,y,z'
loop_
_atom_site_label
_atom_site_fract_x
_atom_site_fract_y
_atom_site_fract_z
Tm1 0.5000 0.5000 0.5000
Y1 0.0000 0.0000 0.2308
Y2 0.0000 0.0000 0.7692
Tl1 0.5000 0.5000 0.0000
```

---

5.
This record from Alexandria via LeMat-Bulk describes an optimized crystal structure of YTm5Tl4. The functional is PBE.

The value obtained for the energy is -40.8 eV for the cell shown. The formation energy comes out at -0.248 eV per atom.

Cell and atoms, written as CIF:
```
data_YTm5Tl4
_chemical_formula_sum 'Y1 Tm5 Tl4'
_cell_length_a 3.5903
_cell_length_b 3.5903
_cell_length_c 21.3810
_cell_angle_alpha 90.00
_cell_angle_beta 90.00
_cell_angle_gamma 90.00
_symmetry_space_group_name_H-M 'P 1'
_symmetry_Int_Tables_number 1
loop_
_symmetry_equiv_pos_as_xyz
'x,y,z'
loop_
_atom_site_label
_atom_site_fract_x
_atom_site_fract_y
_atom_site_fract_z
Tl1 0.0000 0.0000 0.5966
Tl2 0.0000 0.0000 0.7895
Tl3 0.0000 0.0000 0.2105
Tl4 0.0000 0.0000 0.4034
Y1 0.0000 0.0000 0.0000
Tm1 0.5000 0.5000 0.8859
Tm2 0.5000 0.5000 0.5000
Tm3 0.5000 0.5000 0.3060
Tm4 0.5000 0.5000 0.6940
Tm5 0.5000 0.5000 0.1141
```

---

6.
This record from Alexandria via LeMat-Bulk describes an optimized crystal structure of Y8TmTl2. The functional is PBE.

The value obtained for the energy is -61.2 eV for the cell shown. The formation energy comes out at -0.022 eV per atom.

Cell and atoms, written as CIF:
```
data_Y8TmTl2
_chemical_formula_sum 'Y8 Tm1 Tl2'
_cell_length_a 5.6128
_cell_length_b 8.7865
_cell_length_c 8.7865
_cell_angle_alpha 118.77
_cell_angle_beta 101.55
_cell_angle_gamma 101.55
_symmetry_space_group_name_H-M 'P 1'
_symmetry_Int_Tables_number 1
loop_
_symmetry_equiv_pos_as_xyz
'x,y,z'
loop_
_atom_site_label
_atom_site_fract_x
_atom_site_fract_y
_atom_site_fract_z
Y1 0.5000 0.7824 0.2176
Y2 0.8862 0.9066 0.6782
Y3 0.2983 0.6012 0.6012
Y4 0.7017 0.3988 0.3988
Y5 0.1138 0.0934 0.3218
Y6 0.5000 0.2176 0.7824
Y7 0.1138 0.3218 0.0934
Y8 0.8862 0.6782 0.9066
Tm1 0.5000 0.0000 0.0000
Tl1 0.0000 0.6938 0.3062
Tl2 0.0000 0.3062 0.6938
```

---

7.
This record from Alexandria via LeMat-Bulk describes an optimized crystal structure of Y3TmTl4. The functional is PBE.

The value obtained for the energy is -36.2 eV for the cell shown. The formation energy comes out at -0.358 eV per atom.

Cell and atoms, written as CIF:
```
data_Y3TmTl4
_chemical_formula_sum 'Y3 Tm1 Tl4'
_cell_length_a 3.7841
_cell_length_b 3.7841
_cell_length_c 15.1392
_cell_angle_alpha 90.00
_cell_angle_beta 90.00
_cell_angle_gamma 90.00
_symmetry_space_group_name_H-M 'P 1'
_symmetry_Int_Tables_number 1
loop_
_symmetry_equiv_pos_as_xyz
'x,y,z'
loop_
_atom_site_label
_atom_site_fract_x
_atom_site_fract_y
_atom_site_fract_z
Y1 0.5000 0.5000 0.2476
Y2 0.5000 0.5000 0.7524
Y3 0.5000 0.5000 0.5000
Tl1 0.0000 0.0000 0.1213
Tl2 0.0000 0.0000 0.3736
Tl3 0.0000 0.0000 0.8787
Tl4 0.0000 0.0000 0.6264
Tm1 0.5000 0.5000 0.0000
```

---

8.
This record from Alexandria via LeMat-Bulk describes an optimized crystal structure of YTm5Tl3. The functional is PBE.

The value obtained for the energy is -76.3 eV for the cell shown. The formation energy comes out at -0.250 eV per atom.

Cell and atoms, written as CIF:
```
data_YTm5Tl3
_chemical_formula_sum 'Y2 Tm10 Tl6'
_cell_length_a 6.6717
_cell_length_b 9.2641
_cell_length_c 9.2630
_cell_angle_alpha 120.00
_cell_angle_beta 90.00
_cell_angle_gamma 90.00
_symmetry_space_group_name_H-M 'P 1'
_symmetry_Int_Tables_number 1
loop_
_symmetry_equiv_pos_as_xyz
'x,y,z'
loop_
_atom_site_label
_atom_site_fract_x
_atom_site_fract_y
_atom_site_fract_z
Tl1 0.7500 0.0000 0.6685
Tl2 0.2500 0.3316 0.0000
Tl3 0.2500 0.0000 0.3315
Tl4 0.2500 0.6685 0.6685
Tl5 0.7500 0.3315 0.3315
Tl6 0.7500 0.6684 0.0000
Tm1 0.7500 0.3363 0.0000
Tm2 0.2500 0.3363 0.3362
Tm3 0.5000 0.3333 0.6666
Tm4 0.0000 0.6667 0.3334
Tm5 0.5000 0.6667 0.3334
Tm6 0.7500 0.6637 0.6638
Tm7 0.2500 0.6637 0.0000
Tm8 0.2500 0.0000 0.6638
Tm9 0.0000 0.3333 0.6666
Tm10 0.7500 0.0000 0.3362
Y1 0.5000 0.0000 0.0000
Y2 0.0000 0.0000 0.0000
```

---

9.
This record from Alexandria via LeMat-Bulk describes an optimized crystal structure of Y12Tm3Tl. The functional is PBE.

The value obtained for the energy is -93.7 eV for the cell shown. The formation energy comes out at -0.024 eV per atom.

Cell and atoms, written as CIF:
```
data_Y12Tm3Tl
_chemical_formula_sum 'Y12 Tm3 Tl1'
_cell_length_a 4.9649
_cell_length_b 4.9649
_cell_length_c 20.1983
_cell_angle_alpha 90.00
_cell_angle_beta 90.00
_cell_angle_gamma 90.00
_symmetry_space_group_name_H-M 'P 1'
_symmetry_Int_Tables_number 1
loop_
_symmetry_equiv_pos_as_xyz
'x,y,z'
loop_
_atom_site_label
_atom_site_fract_x
_atom_site_fract_y
_atom_site_fract_z
Y1 0.5000 0.5000 0.0000
Y2 0.0000 0.5000 0.3738
Y3 0.5000 0.5000 0.7546
Y4 0.0000 0.5000 0.6262
Y5 0.0000 0.5000 0.8778
Y6 0.5000 0.5000 0.5000
Y7 0.5000 0.0000 0.8778
Y8 0.5000 0.0000 0.6262
Y9 0.5000 0.5000 0.2454
Y10 0.5000 0.0000 0.1222
Y11 0.5000 0.0000 0.3738
Y12 0.0000 0.5000 0.1222
Tl1 0.0000 0.0000 0.0000
Tm1 0.0000 0.0000 0.7510
Tm2 0.0000 0.0000 0.5000
Tm3 0.0000 0.0000 0.2490
```

---

10.
This record from Alexandria via LeMat-Bulk describes an optimized crystal structure of Y3Tm12Tl. The functional is PBE.

The value obtained for the energy is -75.7 eV for the cell shown. The formation energy comes out at -0.017 eV per atom.

Cell and atoms, written as CIF:
```
data_Y3Tm12Tl
_chemical_formula_sum 'Y3 Tm12 Tl1'
_cell_length_a 4.9022
_cell_length_b 4.9022
_cell_length_c 19.8938
_cell_angle_alpha 90.00
_cell_angle_beta 90.00
_cell_angle_gamma 90.00
_symmetry_space_group_name_H-M 'P 1'
_symmetry_Int_Tables_number 1
loop_
_symmetry_equiv_pos_as_xyz
'x,y,z'
loop_
_atom_site_label
_atom_site_fract_x
_atom_site_fract_y
_atom_site_fract_z
Tm1 0.5000 0.0000 0.8784
Tm2 0.5000 0.0000 0.1216
Tm3 0.0000 0.5000 0.1216
Tm4 0.5000 0.5000 0.2441
Tm5 0.5000 0.0000 0.6265
Tm6 0.5000 0.5000 0.0000
Tm7 0.0000 0.5000 0.3735
Tm8 0.5000 0.0000 0.3735
Tm9 0.5000 0.5000 0.5000
Tm10 0.0000 0.5000 0.8784
Tm11 0.5000 0.5000 0.7559
Tm12 0.0000 0.5000 0.6265
Y1 0.0000 0.0000 0.5000
Y2 0.0000 0.0000 0.2486
Y3 0.0000 0.0000 0.7514
Tl1 0.0000 0.0000 0.0000
```

---

11.
This record from Alexandria via LeMat-Bulk describes an optimized crystal structure of Y2TmTl. The functional is PBE.

The value obtained for the energy is -19.5 eV for the cell shown. The formation energy comes out at 0.078 eV per atom. Its energy above the lowest structure with this stoichiometry is 271 meV per atom.

Cell and atoms, written as CIF:
```
data_Y2TmTl
_chemical_formula_sum 'Y2 Tm1 Tl1'
_cell_length_a 3.5432
_cell_length_b 3.5432
_cell_length_c 12.1504
_cell_angle_alpha 81.62
_cell_angle_beta 81.62
_cell_angle_gamma 60.00
_symmetry_space_group_name_H-M 'P 1'
_symmetry_Int_Tables_number 1
loop_
_symmetry_equiv_pos_as_xyz
'x,y,z'
loop_
_atom_site_label
_atom_site_fract_x
_atom_site_fract_y
_atom_site_fract_z
Tl1 0.0000 0.0000 0.0000
Y1 0.9111 0.9111 0.2666
Y2 0.0889 0.0889 0.7334
Tm1 0.5000 0.5000 0.5000
```

---

Question: The lowest formation energy belongs to which entry?
Answer: Y3TmTl4